CsRbSc2Br8: relaxed, PBE-GGA.

Unit cell a=11.1358 b=11.1358 c=11.1358 alpha=40.20 beta=40.20 gamma=40.20
Closest atoms and distances in Å follow each position.
Fractional positions:
Cs1 0.0000 0.0000 0.0000  6 Br 3.92
Rb1 0.5000 0.5000 0.5000  6 Br 3.58
Sc1 0.2568 0.2568 0.2568  4 Br 2.49-2.51
Sc2 0.7432 0.7432 0.7432  4 Br 2.49-2.51
Br1 0.0470 0.4335 0.8268  1 Sc 2.51
Br2 0.1732 0.9530 0.5665  1 Sc 2.51
Br3 0.3378 0.3378 0.3378  1 Sc 2.49
Br4 0.4335 0.8268 0.0470  1 Sc 2.51
Br5 0.5665 0.1732 0.9530  1 Sc 2.51
Br6 0.6622 0.6622 0.6622  1 Sc 2.49
Br7 0.8268 0.0470 0.4335  1 Sc 2.51
Br8 0.9530 0.5665 0.1732  1 Sc 2.51

Computed properties:
- DOS(E_F): 0.000 states/eV/f.u.
- VASP energy: -48.429 eV per cell
- Uncorrected formation energy: -165 kJ per mole of atoms
- SG: R-3, No. 148

***

CsRb2ScBr6: relaxed, PBE-GGA.

Unit cell a=8.1393 b=8.6465 c=14.1714 alpha=90.00 beta=124.86 gamma=90.00
Closest atoms and distances in Å follow each position.
Fractional positions:
Cs1 0.0000 0.0000 0.0000  6 Br 3.53-3.65
Cs2 0.0000 0.5000 0.5000  6 Br 3.53-3.65
Rb1 0.2169 0.0766 0.7476  6 Br 3.48-3.70
Rb2 0.2169 0.4234 0.2476  6 Br 3.48-3.70
Rb3 0.7831 0.5766 0.7524  6 Br 3.48-3.70
Rb4 0.7831 0.9234 0.2524  6 Br 3.48-3.70
Sc1 0.5000 0.0000 0.5000  6 Br 2.67-2.70
Sc2 0.5000 0.5000 0.0000  6 Br 2.67-2.70
Br1 0.1788 0.1664 0.4426  1 Sc 2.67
Br2 0.1788 0.3336 0.9426  1 Sc 2.67
Br3 0.2735 0.7415 0.4223  1 Sc 2.70
Br4 0.2735 0.7585 0.9223  1 Sc 2.70
Br5 0.4210 0.0535 0.2915  1 Sc 2.68
Br6 0.4210 0.4465 0.7915  1 Sc 2.68
Br7 0.5790 0.5535 0.2085  1 Sc 2.68
Br8 0.5790 0.9465 0.7085  1 Sc 2.68
Br9 0.7265 0.2415 0.0777  1 Sc 2.70
Br10 0.7265 0.2585 0.5777  1 Sc 2.70
Br11 0.8212 0.6664 0.0574  1 Sc 2.67
Br12 0.8212 0.8336 0.5574  1 Sc 2.67

Computed properties:
- DOS(E_F): 0.000 states/eV/f.u.
- VASP energy: -73.621 eV per cell
- Uncorrected formation energy: -170 kJ per mole of atoms
- Offset from the most stable computed form: 0.0000 eV/atom
- SG: P2_1/c, No. 14

***

CsRb2ScBr6: relaxed, PBE-GGA.

Unit cell a=8.5447 b=8.5447 c=8.5447 alpha=60.00 beta=60.00 gamma=60.00
Closest atoms and distances in Å follow each position.
Fractional positions:
Cs1 0.0000 0.0000 0.0000  6 Br 3.38
Rb1 0.2500 0.2500 0.2500  12 Br 4.29
Rb2 0.7500 0.7500 0.7500  12 Br 4.29
Sc1 0.5000 0.5000 0.5000  6 Br 2.66
Br1 0.2800 0.2800 0.7200  1 Sc 2.66
Br2 0.2800 0.7200 0.2800  1 Sc 2.66
Br3 0.2800 0.7200 0.7200  1 Sc 2.66
Br4 0.7200 0.2800 0.2800  1 Sc 2.66
Br5 0.7200 0.2800 0.7200  1 Sc 2.66
Br6 0.7200 0.7200 0.2800  1 Sc 2.66

Computed properties:
- DOS(E_F): 0.000 states/eV/f.u.
- VASP energy: -36.167 eV per cell
- Uncorrected formation energy: -164 kJ per mole of atoms
- Offset from the most stable computed form: 0.0643 eV/atom
- SG: Fm-3m, No. 225

***

Cs3RbSc2Br9: relaxed, PBE-GGA.

Unit cell a=7.9217 b=7.9217 c=10.9114 alpha=90.00 beta=90.00 gamma=120.00
Closest atoms and distances in Å follow each position.
Fractional positions:
Cs1 0.0000 0.0000 0.0000  12 Br 3.91-3.96
Cs2 0.3333 0.6667 0.7191  9 Br 3.82-3.96
Cs3 0.6667 0.3333 0.2809  9 Br 3.82-3.96
Rb1 0.0000 0.0000 0.5000  6 Br 3.34
Sc1 0.3333 0.6667 0.1502  6 Br 2.64-2.81
Sc2 0.6667 0.3333 0.8498  6 Br 2.64-2.81
Br1 0.0000 0.5000 0.0000  2 Sc 2.81
Br2 0.1730 0.3460 0.2846  1 Sc 2.64
Br3 0.1730 0.8270 0.2846  1 Sc 2.64
Br4 0.3460 0.1730 0.7154  1 Sc 2.64
Br5 0.5000 0.0000 0.0000  2 Sc 2.81
Br6 0.5000 0.5000 0.0000  2 Sc 2.81
Br7 0.6540 0.8270 0.2846  1 Sc 2.64
Br8 0.8270 0.1730 0.7154  1 Sc 2.64
Br9 0.8270 0.6540 0.7154  1 Sc 2.64

Computed properties:
- DOS(E_F): 5.711 states/eV/f.u.
- VASP energy: -56.993 eV per cell
- Uncorrected formation energy: -166 kJ per mole of atoms
- SG: P-3m1, No. 164